Record 1
Crystalline ThMgTlAu at its relaxed geometry. Source: the Alexandria database, functional PBE.

For the total moment, the calculation gives 0.0 μB per formula unit. The value obtained for the energy relative to the elements is -0.3682 eV/atom. The density of states at the Fermi level is 2.4 states/eV/f.u. As for the space-group type: F-43m.

Cell: 5.1866 5.1866 5.1866 Å, 60.00 60.00 60.00°
Sites, in units of the cell vectors:
Th 0.0000 0.0000 0.0000
Mg 0.5000 0.5000 0.5000
Tl 0.2500 0.2500 0.2500
Au 0.7500 0.7500 0.7500

Record 2
Crystalline SrCaMo2 at its relaxed geometry. Source: the Alexandria database, functional PBE.

For the total moment, the calculation gives 6.2 μB per formula unit. The value obtained for the energy relative to the elements is 1.4171 eV/atom. The density of states at the Fermi level is 3.9 states/eV/f.u. As for the space-group type: P4/mmm. The polymorph energy (0 for the lowest one) is 92.32 kJ/mol of atoms.

Cell: 5.2676 5.2676 3.7711 Å, 90.00 90.00 90.00°
Sites, in units of the cell vectors:
Sr 0.0000 0.0000 0.0000
Ca 0.5000 0.5000 0.0000
Mo 0.0000 0.5000 0.5000
Mo 0.5000 0.0000 0.5000

Record 3
Crystalline Ba2CdSn2 at its relaxed geometry. Source: the Alexandria database, functional PBE.

For the total moment, the calculation gives 0.0 μB per formula unit. The value obtained for the energy relative to the elements is -0.3425 eV/atom. The density of states at the Fermi level is 2.6 states/eV/f.u. As for the space-group type: P4/mbm. The polymorph energy (0 for the lowest one) is 25.22 kJ/mol of atoms.

Cell: 9.9708 9.9708 4.0125 Å, 90.00 90.00 90.00°
Sites, in units of the cell vectors:
Ba 0.1898 0.3102 0.0000
Ba 0.3102 0.8102 0.0000
Ba 0.6898 0.1898 0.0000
Ba 0.8102 0.6898 0.0000
Cd 0.0000 0.0000 0.0000
Cd 0.5000 0.5000 0.0000
Sn 0.1035 0.6035 0.5000
Sn 0.3965 0.1035 0.5000
Sn 0.6035 0.8965 0.5000
Sn 0.8965 0.3965 0.5000

Record 4
Crystalline Ca2SmSc at its relaxed geometry. Source: the Alexandria database, functional PBE.

For the total moment, the calculation gives 0.6 μB per formula unit. The value obtained for the energy relative to the elements is 0.3093 eV/atom. The density of states at the Fermi level is 6.2 states/eV/f.u. As for the space-group type: R-3m.

Cell: 12.9666 12.9666 12.9666 Å, 15.55 15.55 15.55°
Sites, in units of the cell vectors:
Ca 0.0845 0.0845 0.0845
Ca 0.9155 0.9155 0.9155
Sm 0.5000 0.5000 0.5000
Sc 0.0000 0.0000 0.0000